[1]
The following is a PBE calculation of a geometry-optimized TaSiSe structure, from Alexandria.

Results
Its energy relative to the elements, uncorrected is 0.066 eV/atom.

Cell lengths 4.5383, 4.5383, 2.8873 Å; angles 90.00, 90.00, 120.00 degrees
Space group P-6m2 (No. 187)
Inequivalent atoms, fractional coordinates:
Ta  0.0000  0.0000  0.0000 (multiplicity 1)
Si  0.3333  0.6667  0.5000 (multiplicity 1)
Se  0.6667  0.3333  0.0000 (multiplicity 1)



[2]
The following is a PBE calculation of a geometry-optimized TaSi2Se8 structure, from Alexandria.

Results
Its energy relative to the elements, uncorrected is -0.335 eV/atom.

Cell lengths 9.829, 10.968, 5.917 Å; angles 90.00, 96.27, 90.00 degrees
Space group C2/m (No. 12)
Inequivalent atoms, fractional coordinates:
Ta  0.000  0.000  0.000 (multiplicity 2)
Si  0.215  0.000  0.443 (multiplicity 4)
Se  0.067  0.500  0.683 (multiplicity 4)
Se  0.100  0.166  0.282 (multiplicity 8)
Se  0.236  0.000  0.829 (multiplicity 4)



[3]
The following is a PBE calculation of a geometry-optimized Ta2SiSe structure, from Alexandria.

Results
Its energy relative to the elements, uncorrected is 0.284 eV/atom. As for the distance to the lowest polymorph of the same formula: 2.45 eV per formula unit.

Cell lengths 4.006, 4.006, 18.304 Å; angles 90.00, 90.00, 90.00 degrees
Space group I-42d (No. 122)
Inequivalent atoms, fractional coordinates:
Ta  0.245  0.250  0.125 (multiplicity 8)
Si  0.000  0.000  0.000 (multiplicity 4)
Se  0.000  0.000  0.500 (multiplicity 4)



[4]
The following is a PBE calculation of a geometry-optimized Ta2SiSe structure, from Alexandria.

Results
Its energy relative to the elements, uncorrected is -0.048 eV/atom. As for the distance to the lowest polymorph of the same formula: 1.12 eV per formula unit.

Cell lengths 3.1881, 3.1881, 24.9193 Å; angles 90.00, 90.00, 120.00 degrees
Space group R3m (No. 160, hexagonal axes)
Inequivalent atoms, fractional coordinates:
Ta  0.0000  0.0000  0.0000 (multiplicity 3)
Ta  0.0000  0.0000  0.2434 (multiplicity 3)
Si  0.0000  0.0000  0.4993 (multiplicity 3)
Se  0.0000  0.0000  0.7400 (multiplicity 3)



[5]
The following is a PBE calculation of a geometry-optimized TaSiSe structure, from Alexandria.

Results
Its energy relative to the elements, uncorrected is -0.175 eV/atom.

Cell lengths 3.2491, 3.2491, 5.9117 Å; angles 90.00, 90.00, 120.00 degrees
Space group P3m1 (No. 156)
Inequivalent atoms, fractional coordinates:
Ta  0.0000  0.0000  0.0000 (multiplicity 1)
Si  0.3333  0.6667  0.6825 (multiplicity 1)
Se  0.6667  0.3333  0.3044 (multiplicity 1)



[6]
The following is a PBE calculation of a geometry-optimized Ta2SiSe structure, from Alexandria.

Results
Its energy relative to the elements, uncorrected is -0.109 eV/atom. As for the distance to the lowest polymorph of the same formula: 0.88 eV per formula unit.

Cell lengths 3.028, 4.846, 4.899 Å; angles 90.00, 103.84, 90.00 degrees
Space group Pm (No. 6)
Inequivalent atoms, fractional coordinates:
Ta  0.000  0.000  0.000 (multiplicity 1)
Ta  0.306  0.500  0.694 (multiplicity 1)
Si  0.659  0.000  0.481 (multiplicity 1)
Se  0.982  0.500  0.146 (multiplicity 1)



[7]
The following is a PBE calculation of a geometry-optimized Ta2Si2Se structure, from Alexandria.

Results
Its energy relative to the elements, uncorrected is -0.218 eV/atom.

Cell lengths 7.053, 7.053, 3.406 Å; angles 90.00, 90.00, 90.00 degrees
Space group P4/mbm (No. 127)
Inequivalent atoms, fractional coordinates:
Ta  0.163  0.337  0.000 (multiplicity 4)
Si  0.126  0.626  0.500 (multiplicity 4)
Se  0.000  0.000  0.000 (multiplicity 2)



[8]
The following is a PBE calculation of a geometry-optimized TaSi3Se structure, from Alexandria.

Results
Its energy relative to the elements, uncorrected is 0.875 eV/atom. As for the distance to the lowest polymorph of the same formula: 0.00 eV per formula unit.

Cell lengths 4.938, 4.938, 4.938 Å; angles 90.00, 90.00, 90.00 degrees
Space group Pm-3m (No. 221)
Inequivalent atoms, fractional coordinates:
Ta  0.000  0.000  0.000 (multiplicity 1)
Si  0.000  0.000  0.500 (multiplicity 3)
Se  0.500  0.500  0.500 (multiplicity 1)